CoAgI2 after structural relaxation. Source: Alexandria, functional PBE.

Cell and atoms, written as CIF:
```
data_CoAgI2
_chemical_formula_sum 'Co3 Ag3 I6'
_space_group_name_H-M_alt 'R -3 m'
_space_group_IT_number 166
_space_group_name_Hall '-R 3 2"'
_cell_length_a 4.0785
_cell_length_b 4.0785
_cell_length_c 24.7526
_cell_angle_alpha 90.00
_cell_angle_beta 90.00
_cell_angle_gamma 120.00
loop_
_atom_site_label
_atom_site_fract_x
_atom_site_fract_y
_atom_site_fract_z
Co1 0.0000 0.0000 0.0000
Ag1 0.0000 0.0000 0.5000
I1 0.0000 0.0000 0.3914
```

Excess energy over the best structure of this formula in the dataset ... 0.0577 eV per atom
Formation energy from raw total energies ... 186 meV per atom